Entry from the Alexandria database: crystalline SrVCdHg2 at its relaxed geometry (PBE-GGA).

Calculated values
energy relative to the elements: 1.02 eV/atom
D(E_F): 8.70 states/eV/cell
density: 6.20 g/cm³

Cell and atoms, written as CIF:
```
data_SrVCdHg2
_chemical_formula_sum 'Sr1 V1 Cd1 Hg2'
_cell_length_a 5.378
_cell_length_b 5.378
_cell_length_c 6.034
_cell_angle_alpha 90.00
_cell_angle_beta 90.00
_cell_angle_gamma 90.00
_symmetry_space_group_name_H-M 'P 4/m m m'
_symmetry_Int_Tables_number 123
_symmetry_space_group_name_Hall '-P 4 2'
loop_
_atom_site_label
_atom_site_type_symbol
_atom_site_fract_x
_atom_site_fract_y
_atom_site_fract_z
Sr1 Sr 0.000 0.000 0.000
V1 V 0.500 0.500 0.000
Cd1 Cd 0.000 0.000 0.500
Hg1 Hg 0.000 0.500 0.500
```

---

Entry from the Alexandria database: crystalline Sr2YCd3Hg12 at its relaxed geometry (PBE-GGA).

Calculated values
energy relative to the elements: -0.16 eV/atom
D(E_F): 33.46 states/eV/cell
density: 9.34 g/cm³

Cell and atoms, written as CIF:
```
data_Sr2YCd3Hg12
_chemical_formula_sum 'Sr6 Y3 Cd9 Hg36'
_cell_length_a 7.0632
_cell_length_b 7.0632
_cell_length_c 37.1238
_cell_angle_alpha 90.00
_cell_angle_beta 90.00
_cell_angle_gamma 120.00
_symmetry_space_group_name_H-M 'R -3 m'
_symmetry_Int_Tables_number 166
_symmetry_space_group_name_Hall '-R 3 2"'
loop_
_atom_site_label
_atom_site_type_symbol
_atom_site_fract_x
_atom_site_fract_y
_atom_site_fract_z
Sr1 Sr 0.0000 0.0000 0.1357
Y1 Y 0.0000 0.0000 0.5000
Cd1 Cd 0.0000 0.5000 0.0000
Hg1 Hg 0.0257 0.5128 0.8873
Hg2 Hg 0.0420 0.5210 0.6128
```